Sc2SnAu | GGA-PBE | optimized geometry

abc: 10.778 10.778 10.778
angles: 16.84 16.84 16.84
Atoms (fractional coordinates):
1 Sc 0.087 0.087 0.087
2 Sn 0.500 0.500 0.500
3 Sc 0.913 0.913 0.913
4 Au 0.000 0.000 0.000

Results
Its formation energy is -0.0534 eV per atom. As for the total magnetization: 0.0000 μB per atom. Its space group is R-3m (166).